The following is a PBE calculation of an optimized crystal structure of MnSi2HgSe, from Alexandria.

Output
V	24.1	A^3/atom
D(E_F)	2.60	states/eV/f.u.
crystal system	tetragonal
DFT total energy	-0.133	hartree per atom
energy relative to the elements, uncorrected	1.15	eV/atom

Cell: 4.8457 5.1398 4.8457 Å, 90.00 90.00 90.00°
With the nearest neighbours (Å) after each atom.
Positions (direct):
Si (0.0000, 0.0000, 0.5000)  2 Hg 2.42
Si (0.5000, 0.0000, 0.0000)  2 Hg 2.42
Mn (0.0000, 0.5000, 0.0000)  2 Hg 2.57
Hg (0.0000, 0.0000, 0.0000)  4 Si 2.42, 2 Mn 2.57
Se (0.5000, 0.5000, 0.5000)  4 Mn 3.43, 8 Si 3.53

---

The following is a PBE calculation of an optimized crystal structure of K2Nb2NiSe6, from Alexandria.

Output
V	25.6	A^3/atom
D(E_F)	7.09	states/eV/f.u.
crystal system	monoclinic
DFT total energy	-0.191	hartree per atom
energy relative to the elements, uncorrected	-0.75	eV/atom

Cell: 6.4895 6.4895 8.2351 Å, 98.52 98.52 121.41°
With the nearest neighbours (Å) after each atom.
Positions (direct):
K (0.8413, 0.1587, 0.0000)  6 Se 3.27-3.32, 1 K 3.59
K (0.1587, 0.8413, 0.0000)  6 Se 3.27-3.32, 1 K 3.59
Nb (0.3124, 0.6876, 0.5000)  6 Se 2.58-2.73
Nb (0.6876, 0.3124, 0.5000)  6 Se 2.58-2.73
Ni (0.0000, 0.0000, 0.5000)  6 Se 2.46-2.58
Se (0.7390, 0.7390, 0.6675)  1 Ni 2.46, 2 Nb 2.73
Se (0.0897, 0.4029, 0.6967)  2 Nb 2.58-2.63, 1 Ni 2.58
Se (0.2610, 0.2610, 0.3325)  1 Ni 2.46, 2 Nb 2.73
Se (0.4029, 0.0897, 0.6967)  2 Nb 2.58-2.63, 1 Ni 2.58
Se (0.9103, 0.5971, 0.3033)  2 Nb 2.58-2.63, 1 Ni 2.58
Se (0.5971, 0.9103, 0.3033)  2 Nb 2.58-2.63, 1 Ni 2.58

---

The following is a PBE calculation of an optimized crystal structure of Cs2SmPuO6, from Alexandria.

Output
V	17.6	A^3/atom
crystal system	cubic
DFT total energy	-0.276	hartree per atom
energy relative to the elements, uncorrected	-2.46	eV/atom

Cell: 6.2843 6.2850 8.8877 Å, 90.00 90.00 90.00°
With the nearest neighbours (Å) after each atom.
Positions (direct):
Cs (0.5000, 0.7499, 0.2500)  12 O 3.15
Cs (0.0000, 0.2501, 0.7500)  12 O 3.15
Cs (0.5000, 0.7499, 0.7500)  12 O 3.15
Cs (0.0000, 0.2501, 0.2500)  12 O 3.15
Sm (0.0000, 0.7500, 0.5000)  6 O 2.40
Sm (0.5000, 0.2500, 0.0000)  6 O 2.40
Pu (0.5000, 0.2499, 0.5000)  6 O 2.05
Pu (0.0000, 0.7501, 0.0000)  6 O 2.05
O (0.5000, 0.2499, 0.2698)  1 Pu 2.05
O (0.5000, 0.2499, 0.7302)  1 Pu 2.05
O (0.0000, 0.7501, 0.2302)  1 Pu 2.05
O (0.0000, 0.7501, 0.7698)  1 Pu 2.05
O (0.2699, 0.0197, 0.5000)  1 Pu 2.05
O (0.7301, 0.0197, 0.5000)  1 Pu 2.05
O (0.2699, 0.4800, 0.5000)  1 Pu 2.05
O (0.7301, 0.4800, 0.5000)  1 Pu 2.05
O (0.7699, 0.5200, 0.0000)  1 Pu 2.05
O (0.2301, 0.5200, 0.0000)  1 Pu 2.05
O (0.2301, 0.9803, 0.0000)  1 Pu 2.05
O (0.7699, 0.9803, 0.0000)  1 Pu 2.05

---

The following is a PBE calculation of an optimized crystal structure of SrOs2Pt, from Alexandria.

Output
V	19.3	A^3/atom
distance to the lowest polymorph of the same formula	0.199	eV per atom
D(E_F)	3.68	states/eV/f.u.
crystal system	monoclinic
DFT total energy	-0.260	hartree per atom

Cell: 5.9785 5.9785 5.1956 Å, 66.28 66.28 27.11°
With the nearest neighbours (Å) after each atom.
Positions (direct):
Os (0.0323, 0.0323, 0.9133)  4 Os 2.54-2.80, 2 Pt 2.70
Os (0.4677, 0.4677, 0.5867)  4 Os 2.54-2.80, 2 Pt 2.70
Pt (0.7500, 0.7500, 0.7500)  4 Os 2.70, 2 Pt 2.80, 4 Sr 2.95
Sr (0.2500, 0.2500, 0.2500)  2 Sr 2.80, 4 Pt 2.95

---

The following is a PBE calculation of an optimized crystal structure of NiSbPb3, from Alexandria.

Output
V	27.9	A^3/atom
distance to the lowest polymorph of the same formula	0.000	eV per atom
D(E_F)	2.06	states/eV/f.u.
crystal system	cubic
DFT total energy	-0.151	hartree per atom
energy relative to the elements, uncorrected	0.11	eV/atom

Cell: 5.1892 5.1892 5.1892 Å, 90.00 90.00 90.00°
With the nearest neighbours (Å) after each atom.
Positions (direct):
Pb (0.0000, 0.5000, 0.0000)  2 Ni 2.59
Pb (0.0000, 0.0000, 0.5000)  2 Ni 2.59
Pb (0.5000, 0.0000, 0.0000)  2 Ni 2.59
Sb (0.5000, 0.5000, 0.5000)  12 Pb 3.67
Ni (0.0000, 0.0000, 0.0000)  6 Pb 2.59